1.
Entry from the Alexandria database: a geometry-optimized SrBe2Pd3 structure (PBE).

Results
total magnetization	0.00	μB per cell

Cell and atoms, written as CIF:
```
data_SrBe2Pd3
_chemical_formula_sum 'Sr3 Be6 Pd9'
_cell_length_a 9.4423
_cell_length_b 9.4423
_cell_length_c 3.8263
_cell_angle_alpha 90.00
_cell_angle_beta 90.00
_cell_angle_gamma 120.00
_space_group_name_H-M_alt 'P 6/m m m'
_space_group_IT_number 191
_space_group_name_Hall '-P 6 2'
loop_
_atom_site_label
_atom_site_type_symbol
_atom_site_fract_x
_atom_site_fract_y
_atom_site_fract_z
Sr1 Sr 0.0000 0.0000 0.0000
Sr2 Sr 0.3333 0.6667 0.5000
Be1 Be 0.1756 0.3512 0.0000
Pd1 Pd 0.0000 0.2931 0.5000
Pd2 Pd 0.0000 0.5000 0.0000
```


2.
Entry from the Alexandria database: a geometry-optimized SrBe2Pd2 structure (PBE).

Results
total magnetization	0.00	μB per cell
E above lowest polymorph	186	meV/atom

Cell and atoms, written as CIF:
```
data_SrBe2Pd2
_chemical_formula_sum 'Sr2 Be4 Pd4'
_cell_length_a 7.281
_cell_length_b 7.281
_cell_length_c 2.969
_cell_angle_alpha 90.00
_cell_angle_beta 90.00
_cell_angle_gamma 90.00
_space_group_name_H-M_alt 'P 4/m b m'
_space_group_IT_number 127
_space_group_name_Hall '-P 4 2ab'
loop_
_atom_site_label
_atom_site_type_symbol
_atom_site_fract_x
_atom_site_fract_y
_atom_site_fract_z
Sr1 Sr 0.000 0.000 0.000
Be1 Be 0.109 0.391 0.000
Pd1 Pd 0.156 0.656 0.500
```


3.
Entry from the Alexandria database: a geometry-optimized SrBe2Pd2 structure (PBE).

Results
total magnetization	0.00	μB per cell
E above lowest polymorph	218	meV/atom

Cell and atoms, written as CIF:
```
data_SrBe2Pd2
_chemical_formula_sum 'Sr2 Be4 Pd4'
_cell_length_a 7.415
_cell_length_b 7.415
_cell_length_c 2.921
_cell_angle_alpha 90.00
_cell_angle_beta 90.00
_cell_angle_gamma 90.00
_space_group_name_H-M_alt 'P 4/m b m'
_space_group_IT_number 127
_space_group_name_Hall '-P 4 2ab'
loop_
_atom_site_label
_atom_site_type_symbol
_atom_site_fract_x
_atom_site_fract_y
_atom_site_fract_z
Sr1 Sr 0.000 0.000 0.000
Be1 Be 0.118 0.382 0.500
Pd1 Pd 0.144 0.644 0.000
```


4.
Entry from the Alexandria database: a geometry-optimized SrBePd structure (PBE).

Results
total magnetization	0.00	μB per cell

Cell and atoms, written as CIF:
```
data_SrBePd
_chemical_formula_sum 'Sr1 Be1 Pd1'
_cell_length_a 4.0166
_cell_length_b 4.0166
_cell_length_c 4.6713
_cell_angle_alpha 90.00
_cell_angle_beta 90.00
_cell_angle_gamma 120.00
_space_group_name_H-M_alt 'P -6 m 2'
_space_group_IT_number 187
_space_group_name_Hall 'P -6 2'
loop_
_atom_site_label
_atom_site_type_symbol
_atom_site_fract_x
_atom_site_fract_y
_atom_site_fract_z
Sr1 Sr 0.0000 0.0000 0.0000
Be1 Be 0.6667 0.3333 0.5000
Pd1 Pd 0.3333 0.6667 0.5000
```


no.,DFT formation energy (eV/atom)
1,-0.429
2,-0.233
3,-0.201
4,-0.330